This record from Alexandria via LeMat-Bulk describes crystalline GaGe3Bi at its relaxed geometry. The functional is PBE.

Cell: 5.563 5.563 5.563 Å, 90.00 90.00 90.00°
Fractional positions:
Ge  0.000  0.000  0.500
Ge  0.000  0.500  0.000
Ge  0.500  0.000  0.000
Bi  0.000  0.000  0.000
Ga  0.500  0.500  0.500

Properties
Calculated formation energy ... 1056.7 meV/atom
Distance to the lowest polymorph of the same formula ... 568 meV per atom
Theoretical density ... 4.79 Mg/m³
Calculated total energy ... -3.095 eV/atom

***

This record from Alexandria via LeMat-Bulk describes crystalline Ca3NbB at its relaxed geometry. The functional is PBE.

Cell: 5.267 5.267 5.267 Å, 90.00 90.00 90.00°
Site moments in Bohr magnetons follow the coordinates.
Fractional positions:
Ca  0.000  0.500  0.000  0.01
Ca  0.000  0.000  0.500  0.04
Ca  0.500  0.000  0.000  0.02
B  0.000  0.000  0.000  -0.23
Nb  0.500  0.500  0.500  2.82

Properties
Calculated formation energy ... 838.6 meV/atom
Distance to the lowest polymorph of the same formula ... 0 meV per atom
Theoretical density ... 2.54 Mg/m³
Calculated total energy ... -3.712 eV/atom

***

This record from Alexandria via LeMat-Bulk describes crystalline RbCaHf2 at its relaxed geometry. The functional is PBE.

Cell: 9.224 9.224 7.176 Å, 50.01 50.01 90.00°
Fractional positions:
Hf  0.629  0.125  0.250
Hf  0.375  0.371  0.750
Hf  0.875  0.879  0.750
Hf  0.121  0.625  0.250
Ca  0.250  0.750  0.500
Ca  0.500  0.500  0.000
Rb  0.750  0.250  0.500
Rb  0.000  0.000  0.000

Properties
Calculated formation energy ... 1446.9 meV/atom
Distance to the lowest polymorph of the same formula ... 34 meV per atom
Theoretical density ... 6.29 Mg/m³
Calculated total energy ... -4.272 eV/atom

***

This record from Alexandria via LeMat-Bulk describes crystalline Li2ScF at its relaxed geometry. The functional is PBE.

Cell: 6.026 6.026 6.030 Å, 60.02 60.02 90.00°
Site moments in Bohr magnetons follow the coordinates.
Fractional positions:
F  0.250  0.750  0.500  0.04
F  0.500  0.500  0.000  0.04
Li  0.376  0.125  0.250  0.03
Li  0.375  0.624  0.750  0.04
Li  0.875  0.626  0.750  0.04
Li  0.374  0.625  0.250  0.04
Sc  0.750  0.250  0.500  0.94
Sc  0.000  0.000  0.000  0.94

Properties
Distance to the lowest polymorph of the same formula ... 0 meV per atom
Theoretical density ... 1.67 Mg/m³
E_form (uncorrected) ... -0.979 eV/atom
Calculated total energy ... -3.987 eV/atom

***

This record from Alexandria via LeMat-Bulk describes crystalline NaCu2Au2 at its relaxed geometry. The functional is PBE.

Cell: 7.804 7.804 2.812 Å, 90.00 90.00 90.00°
Fractional positions:
Au  0.642  0.142  0.000
Au  0.142  0.358  0.000
Au  0.858  0.642  0.000
Au  0.358  0.858  0.000
Cu  0.155  0.655  0.500
Cu  0.845  0.345  0.500
Cu  0.345  0.155  0.500
Cu  0.655  0.845  0.500
Na  0.500  0.500  0.000
Na  0.000  0.000  0.000

Properties
Calculated formation energy ... -88.1 meV/atom
Distance to the lowest polymorph of the same formula ... 46 meV per atom
Theoretical density ... 10.55 Mg/m³
Calculated total energy ... -3.301 eV/atom

***

This record from Alexandria via LeMat-Bulk describes crystalline DyTm2Pb at its relaxed geometry. The functional is PBE.

Cell: 4.236 6.570 9.266 Å, 90.00 90.00 108.79°
Fractional positions:
Tm  0.631  0.262  0.445
Tm  0.369  0.738  0.555
Tm  0.631  0.262  0.055
Tm  0.369  0.738  0.945
Pb  0.247  0.495  0.250
Pb  0.753  0.505  0.750
Dy  0.945  0.890  0.250
Dy  0.055  0.110  0.750

Properties
Calculated formation energy ... -226.1 meV/atom
Distance to the lowest polymorph of the same formula ... 60 meV per atom
Theoretical density ... 9.63 Mg/m³
Calculated total energy ... -4.540 eV/atom

***

This record from Alexandria via LeMat-Bulk describes crystalline TmAgSbRh at its relaxed geometry. The functional is PBE.

Cell: 4.805 4.805 4.805 Å, 60.00 60.00 60.00°
Fractional positions:
Tm  0.000  0.000  0.000
Sb  0.500  0.500  0.500
Ag  0.250  0.250  0.250
Rh  0.750  0.750  0.750

Properties
Theoretical density ... 10.61 Mg/m³
E_form (uncorrected) ... -0.510 eV/atom
Calculated total energy ... -5.209 eV/atom

***

This record from Alexandria via LeMat-Bulk describes crystalline LiEuMgSi at its relaxed geometry. The functional is PBE.

Cell: 4.914 4.914 4.914 Å, 60.00 60.00 60.00°
Site moments in Bohr magnetons follow the coordinates.
Fractional positions:
Eu  0.000  0.000  0.000  6.84
Mg  0.500  0.500  0.500  0.00
Si  0.750  0.750  0.750  -0.02
Li  0.250  0.250  0.250  0.05

Properties
Theoretical density ... 4.18 Mg/m³
E_form (uncorrected) ... -0.219 eV/atom
Calculated total energy ... -5.020 eV/atom

***

This record from Alexandria via LeMat-Bulk describes crystalline Rb2TiNF6 at its relaxed geometry. The functional is PBE.

Cell: 6.447 6.447 6.461 Å, 60.07 60.07 90.00°
Site moments in Bohr magnetons follow the coordinates.
Fractional positions:
F  0.206  0.206  0.587  0.01
F  0.207  0.207  0.000  0.01
F  0.793  0.793  0.000  0.01
F  0.207  0.793  0.000  0.01
F  0.793  0.207  0.000  0.01
F  0.794  0.794  0.413  0.01
Rb  0.250  0.750  0.500  0.00
Rb  0.750  0.250  0.500  0.00
N  0.500  0.500  0.000  1.93
Ti  0.000  0.000  0.000  0.02

Properties
Theoretical density ... 3.03 Mg/m³
E_form (uncorrected) ... -2.384 eV/atom
Calculated total energy ... -5.323 eV/atom

***

This record from Alexandria via LeMat-Bulk describes crystalline ZrAs2Cl at its relaxed geometry. The functional is PBE.

Cell: 9.983 9.983 9.983 Å, 18.94 18.94 18.94°
Fractional positions:
Cl  0.474  0.474  0.474
As  0.005  0.005  0.005
As  0.275  0.275  0.275
Zr  0.746  0.746  0.746

Properties
Distance to the lowest polymorph of the same formula ... 197 meV per atom
Theoretical density ... 5.01 Mg/m³
E_form (uncorrected) ... -0.536 eV/atom
Calculated total energy ... -5.459 eV/atom

***

This record from Alexandria via LeMat-Bulk describes crystalline MgAs4Os at its relaxed geometry. The functional is PBE.

Cell: 5.422 5.422 5.422 Å, 60.00 60.00 60.00°
Site moments in Bohr magnetons follow the coordinates.
Fractional positions:
As  0.375  0.875  0.375  0.01
As  0.375  0.375  0.875  0.01
As  0.375  0.375  0.375  0.01
As  0.875  0.375  0.375  0.01
Mg  0.750  0.750  0.750  -0.01
Os  0.000  0.000  0.000  0.49

Properties
Calculated formation energy ... 810.6 meV/atom
Theoretical density ... 7.58 Mg/m³
Calculated total energy ... -4.427 eV/atom

***

This record from Alexandria via LeMat-Bulk describes crystalline Nb2AuO at its relaxed geometry. The functional is PBE.

Cell: 5.009 5.009 6.970 Å, 68.94 68.94 90.00°
Fractional positions:
O  0.250  0.750  0.500
O  0.500  0.500  0.000
Nb  0.875  0.761  0.750
Nb  0.375  0.489  0.750
Nb  0.511  0.125  0.250
Nb  0.239  0.625  0.250
Au  0.750  0.250  0.500
Au  0.000  0.000  0.000

Properties
Theoretical density ... 8.79 Mg/m³
E_form (uncorrected) ... -0.430 eV/atom
Calculated total energy ... -7.524 eV/atom

***

This record from Alexandria via LeMat-Bulk describes crystalline CuHI at its relaxed geometry. The functional is PBE.

Cell: 7.153 5.135 3.312 Å, 89.99 90.41 89.76°
Fractional positions:
Cu  0.364  0.250  0.498
Cu  0.636  0.750  0.502
I  0.251  0.751  0.496
I  0.749  0.249  0.504
H  0.656  0.750  0.002
H  0.344  0.250  0.998

Properties
Distance to the lowest polymorph of the same formula ... 318 meV per atom
Theoretical density ... 5.23 Mg/m³
Calculated total energy ... -2.786 eV/atom

***

This record from Alexandria via LeMat-Bulk describes crystalline RbSrTl3 at its relaxed geometry. The functional is PBE.

Cell: 6.376 6.376 6.376 Å, 90.00 90.00 90.00°
Fractional positions:
Tl  0.000  0.000  0.500
Tl  0.500  0.000  0.000
Tl  0.000  0.500  0.000
Sr  0.000  0.000  0.000
Rb  0.500  0.500  0.500

Properties
Calculated formation energy ... 232.2 meV/atom
Distance to the lowest polymorph of the same formula ... 0 meV per atom
Theoretical density ... 5.04 Mg/m³
Calculated total energy ... -1.717 eV/atom

***

This record from Alexandria via LeMat-Bulk describes crystalline Hf6Ga3Os at its relaxed geometry. The functional is PBE.

Cell: 5.353 7.744 9.863 Å, 90.00 89.45 90.00°
Fractional positions:
Hf  0.585  0.177  0.574
Hf  0.639  0.469  0.255
Hf  0.085  0.331  0.427
Hf  0.085  0.323  0.074
Hf  0.139  0.031  0.755
Hf  0.415  0.831  0.073
Hf  0.361  0.531  0.745
Hf  0.415  0.823  0.426
Hf  0.861  0.969  0.245
Hf  0.915  0.669  0.573
Hf  0.915  0.677  0.926
Hf  0.585  0.169  0.927
Ga  0.609  0.873  0.746
Ga  0.109  0.627  0.246
Ga  0.500  0.500  0.000
Ga  0.000  0.000  0.500
Ga  0.891  0.373  0.754
Ga  0.391  0.127  0.254
Os  0.000  0.000  0.000
Os  0.500  0.500  0.500

Properties
Calculated formation energy ... -225.9 meV/atom
Theoretical density ... 11.94 Mg/m³
Calculated total energy ... -8.229 eV/atom

***

This record from Alexandria via LeMat-Bulk describes crystalline KSnBiPt2 at its relaxed geometry. The functional is PBE.

Cell: 4.642 6.466 10.282 Å, 105.01 90.00 90.00°
Fractional positions:
Sn  0.250  0.338  0.040
Sn  0.750  0.662  0.960
K  0.750  0.058  0.779
K  0.250  0.942  0.221
Bi  0.250  0.330  0.555
Bi  0.750  0.670  0.445
Pt  0.250  0.537  0.836
Pt  0.750  0.463  0.164
Pt  0.750  0.511  0.676
Pt  0.250  0.489  0.324

Properties
Calculated formation energy ... -334.8 meV/atom
Theoretical density ... 8.43 Mg/m³
Calculated total energy ... -4.547 eV/atom

***

This record from Alexandria via LeMat-Bulk describes crystalline ZrPbW2 at its relaxed geometry. The functional is PBE.

Cell: 2.886 2.886 9.678 Å, 90.00 90.00 90.00°
Fractional positions:
W  0.000  0.000  0.008
W  0.000  0.000  0.492
Pb  0.500  0.500  0.750
Zr  0.500  0.500  0.250

Properties
Calculated formation energy ... 848.2 meV/atom
Theoretical density ... 13.72 Mg/m³
Calculated total energy ... -8.693 eV/atom

***

This record from Alexandria via LeMat-Bulk describes crystalline LiY2Mn at its relaxed geometry. The functional is PBE.

Cell: 5.921 5.921 5.921 Å, 137.00 137.00 62.44°
Site moments in Bohr magnetons follow the coordinates.
Fractional positions:
Y  0.250  0.750  0.500  -0.44
Y  0.000  0.000  0.000  -0.42
Li  0.500  0.500  0.000  -0.05
Mn  0.750  0.250  0.500  3.47

Properties
Calculated formation energy ... 300.9 meV/atom
Theoretical density ... 4.17 Mg/m³
Calculated total energy ... -5.702 eV/atom

***

This record from Alexandria via LeMat-Bulk describes crystalline KNaTe at its relaxed geometry. The functional is PBE.

Cell: 4.879 4.879 9.692 Å, 104.58 104.58 90.00°
Fractional positions:
K  0.682  0.682  0.364
K  0.318  0.318  0.636
Te  0.118  0.118  0.237
Te  0.882  0.882  0.763
Na  0.000  0.500  0.000
Na  0.500  0.000  0.000

Properties
Theoretical density ... 2.92 Mg/m³
E_form (uncorrected) ... -0.905 eV/atom
Calculated total energy ... -2.758 eV/atom

***

This record from Alexandria via LeMat-Bulk describes crystalline Sb3PdAu at its relaxed geometry. The functional is PBE.

Cell: 6.424 6.337 11.529 Å, 90.00 91.20 90.00°
Fractional positions:
Sb  0.818  0.403  0.111
Sb  0.682  0.903  0.389
Sb  0.656  0.905  0.115
Sb  0.318  0.097  0.611
Sb  0.344  0.095  0.885
Sb  0.668  0.417  0.642
Sb  0.168  0.083  0.142
Sb  0.156  0.595  0.615
Sb  0.332  0.583  0.358
Sb  0.832  0.917  0.858
Sb  0.844  0.405  0.385
Sb  0.182  0.597  0.889
Pd  0.019  0.264  0.756
Pd  0.519  0.236  0.256
Pd  0.981  0.736  0.244
Pd  0.481  0.764  0.744
Au  0.158  0.082  0.387
Au  0.658  0.418  0.887
Au  0.842  0.918  0.613
Au  0.342  0.582  0.113

Properties
Distance to the lowest polymorph of the same formula ... 0 meV per atom
Theoretical density ... 9.47 Mg/m³
E_form (uncorrected) ... -0.147 eV/atom
Calculated total energy ... -4.315 eV/atom